(1)
A relaxed Ba2LaAl crystal. Source: Alexandria, functional PBE.

POSCAR file:
```
Ba2LaAl
1.0
3.9714 0.0000 0.0000
0.0000 5.2529 0.0000
0.0000 0.0000 7.5844
Al Ba La
1 2 1
direct
0.5000 0.5000 0.7500
0.0000 0.0000 0.9794
0.0000 0.0000 0.5206
0.5000 0.5000 0.2500
```

E_form: 155 meV/atom
volume: 39.555 A^3/atom
SG: Pmmm, No. 47



(2)
A relaxed LiAc2Ni crystal. Source: Alexandria, functional PBE.

POSCAR file:
```
LiAc2Ni
1.0
3.7648 0.0000 0.0000
0.0000 3.7648 0.0000
0.0000 0.0000 8.3058
Ni Ac Li
1 2 1
direct
0.5000 0.5000 0.0000
0.0000 0.0000 0.7903
0.0000 0.0000 0.2097
0.5000 0.5000 0.5000
```

E_form: -28 meV/atom
volume: 29.431 A^3/atom
SG: P4/mmm, No. 123



(3)
A relaxed ScHgBi crystal. Source: Alexandria, functional PBE.

POSCAR file:
```
ScHgBi
1.0
-2.2545 -3.1930 -1.2847
2.4580 -0.4187 -3.2728
2.6148 -1.0818 4.6885
Sc Bi Hg
1 1 1
direct
0.2955 0.2955 0.5909
0.9403 0.9403 0.8805
0.6143 0.6143 0.2285
```

E_form: -223 meV/atom
volume: 26.180 A^3/atom
SG: I4mm, No. 107



(4)
A relaxed Na2SrNpS4 crystal. Source: Alexandria, functional PBE.

POSCAR file:
```
Na2SrNpS4
1.0
5.6589 0.0030 0.0000
-0.0027 5.6589 0.0000
-2.8281 -2.8309 6.1605
Na Sr Np S
2 1 1 4
direct
0.2500 0.7500 0.5000
0.0000 0.0000 0.0000
0.5000 0.5000 0.0000
0.7500 0.2500 0.5000
0.9622 0.4622 0.9245
0.5378 0.0378 0.0755
0.7460 0.7460 0.4921
0.2540 0.2540 0.5079
```

volume: 24.660 A^3/atom
formation energy from raw total energies: -1464.4 meV per atom
SG: I-4m2, No. 119



(5)
A relaxed MnZnAg2 crystal. Source: Alexandria, functional PBE.

POSCAR file:
```
MnZnAg2
1.0
2.8881 0.0000 0.0000
0.0000 4.9220 0.0973
0.0000 3.3297 4.6976
Ag Mn Zn
2 1 1
direct
0.0000 0.0000 0.0000
0.5000 0.5000 0.0000
0.5000 0.5000 0.5000
0.0000 0.0000 0.5000
```

E_form: 158 meV/atom
volume: 16.461 A^3/atom
SG: P2/m, No. 10



(6)
A relaxed TbSmTmAl crystal. Source: Alexandria, functional PBE.

POSCAR file:
```
TbSmTmAl
1.0
-0.9990 -3.2960 0.6961
0.5972 -0.8879 -3.3468
8.5324 -2.1445 2.0913
Tb Sm Tm Al
1 1 1 1
direct
0.5000 0.5000 0.7820
0.0000 0.0000 0.0757
0.5000 0.5000 0.3600
0.0000 0.0000 0.5669
```

E_form: -193 meV/atom
volume: 27.911 A^3/atom
SG: P4mm, No. 99



(7)
A relaxed SrBr crystal. Source: Alexandria, functional PBE.

POSCAR file:
```
SrBr
1.0
-1.7297 2.6774 -2.8788
1.4207 -2.6243 -3.2942
-7.1784 -4.2908 0.3224
Sr Br
2 2
direct
0.0000 0.0000 0.5823
0.5000 0.5000 0.0141
0.5000 0.5000 0.6379
0.5000 0.0000 0.2911
```

volume: 39.944 A^3/atom
formation energy from raw total energies: -1403.7 meV per atom
SG: Pmm2, No. 25



(8)
A relaxed Li2VHg2 crystal. Source: Alexandria, functional PBE.

POSCAR file:
```
Li2VHg2
1.0
7.4565 0.0000 0.0000
0.0000 7.4565 0.0000
0.0000 0.0000 3.0679
V Hg Li
2 4 4
direct
0.0000 0.0000 0.0000
0.5000 0.5000 0.0000
0.1767 0.6767 0.5000
0.6767 0.8233 0.5000
0.8233 0.3233 0.5000
0.3233 0.1767 0.5000
0.3768 0.8768 0.0000
0.8768 0.6232 0.0000
0.6232 0.1232 0.0000
0.1232 0.3768 0.0000
```

E_form: 79 meV/atom
volume: 17.057 A^3/atom
SG: P4/mbm, No. 127



(9)
A relaxed Na2TlAg2 crystal. Source: Alexandria, functional PBE.

POSCAR file:
```
Na2TlAg2
1.0
3.8827 0.0000 0.0000
0.0000 3.8827 0.0000
1.9414 1.9414 8.7811
Na Tl Ag
2 1 2
direct
0.3890 0.3890 0.2220
0.6110 0.6110 0.7780
0.0000 0.0000 0.0000
0.7500 0.2500 0.5000
0.2500 0.7500 0.5000
```

E_form: 45 meV/atom
volume: 26.476 A^3/atom
SG: I4/mmm, No. 139



(10)
A relaxed Sc2SbPd crystal. Source: Alexandria, functional PBE.

POSCAR file:
```
Sc2SbPd
1.0
3.8781 0.0000 0.0000
0.0000 4.5853 0.0000
0.0000 0.0000 4.5853
Sc Sb Pd
2 1 1
direct
0.0000 0.0000 0.5000
0.0000 0.5000 0.0000
0.5000 0.5000 0.5000
0.5000 0.0000 0.0000
```

volume: 20.384 A^3/atom
formation energy from raw total energies: -776.6 meV per atom
SG: P4/mmm, No. 123



(11)
A relaxed Th8Hg4C3S crystal. Source: Alexandria, functional PBE.

POSCAR file:
```
Th8Hg4C3S
1.0
7.6887 0.0000 0.0000
0.0000 9.0927 1.0202
-3.8444 -3.8373 5.4253
Th Hg C S
8 4 3 1
direct
0.2390 0.6856 0.9466
0.2389 0.6856 0.4778
0.2745 0.3229 0.5490
0.7076 0.6856 0.9466
0.2924 0.3144 0.0534
0.7255 0.6771 0.4510
0.7611 0.3144 0.5222
0.7610 0.3144 0.0534
0.5000 0.0000 0.0000
0.5000 0.0000 0.5000
0.0000 0.0000 0.0000
0.0000 0.0000 0.5000
0.5000 0.5000 0.0000
0.5000 0.5000 0.5000
0.0000 0.5000 0.5000
0.0000 0.5000 0.0000
```

volume: 25.587 A^3/atom
formation energy from raw total energies: -454.0 meV per atom
SG: C2/m, No. 12



(12)
A relaxed K3TlFe2Cl9 crystal. Source: Alexandria, functional PBE.

POSCAR file:
```
K3TlFe2Cl9
1.0
-5.9829 3.4540 1.5511
0.4828 -6.9607 1.2027
3.5662 1.8950 9.5359
K Tl Fe Cl
3 1 2 9
direct
0.3333 0.6667 0.7598
0.0000 0.0000 0.0000
0.6667 0.3333 0.2402
0.0000 0.0000 0.5000
0.3333 0.6667 0.1569
0.6667 0.3333 0.8431
0.8292 0.1708 0.7264
0.8292 0.6584 0.7264
0.3416 0.1708 0.7264
0.6584 0.8292 0.2736
0.1708 0.3416 0.2736
0.1708 0.8292 0.2736
0.5000 0.0000 0.0000
0.0000 0.5000 0.0000
0.5000 0.5000 0.0000
```

volume: 29.973 A^3/atom
formation energy from raw total energies: -1243.7 meV per atom
SG: P-3m1, No. 164